Entry 1:
Density functional theory data (PBE-GGA) for Hf2BeP after structural relaxation.

Calculated values
formation enthalpy at 0 K	0.214	eV per atom
DFT total energy	-28.2	eV/cell
E above lowest polymorph	1109	meV/atom

Unit cell a=8.616 b=8.616 c=8.616 alpha=23.14 beta=23.14 gamma=23.14
Fractional positions:
Hf (0.106, 0.106, 0.106)
Hf (0.894, 0.894, 0.894)
Be (0.000, 0.000, 0.000)
P (0.500, 0.500, 0.500)

---

Entry 2:
Density functional theory data (PBE-GGA) for ScTaHg after structural relaxation.

Calculated values
formation enthalpy at 0 K	0.018	eV per atom
DFT total energy	-18.4	eV/cell
E above lowest polymorph	0	meV/atom

Unit cell a=7.121 b=7.121 c=7.121 alpha=155.76 beta=155.76 gamma=34.54
Fractional positions:
Sc (0.000, 0.000, 0.000)
Ta (0.661, 0.661, 0.000)
Hg (0.328, 0.328, 0.000)

---

Entry 3:
Density functional theory data (PBE-GGA) for HoZrTlGa after structural relaxation.

Calculated values
formation enthalpy at 0 K	-0.229	eV per atom
DFT total energy	-19.4	eV/cell

Unit cell a=5.064 b=5.064 c=5.064 alpha=60.00 beta=60.00 gamma=60.00
Fractional positions:
Ho (0.000, 0.000, 0.000)
Zr (0.500, 0.500, 0.500)
Tl (0.250, 0.250, 0.250)
Ga (0.750, 0.750, 0.750)

---

Entry 4:
Density functional theory data (PBE-GGA) for ZnNi2 after structural relaxation.

Calculated values
formation enthalpy at 0 K	-0.154	eV per atom
DFT total energy	-26.6	eV/cell

Unit cell a=4.299 b=4.299 c=5.051 alpha=103.23 beta=103.23 gamma=50.72
Fractional positions:
Zn (0.161, 0.161, 0.324)
Zn (0.839, 0.839, 0.676)
Ni (0.169, 0.169, 0.836)
Ni (0.500, 0.500, 0.000)
Ni (0.500, 0.500, 0.500)
Ni (0.831, 0.831, 0.164)

---

Entry 5:
Density functional theory data (PBE-GGA) for AcHoPd after structural relaxation.

Calculated values
formation enthalpy at 0 K	-0.372	eV per atom
DFT total energy	-15.0	eV/cell
E above lowest polymorph	194	meV/atom

Unit cell a=5.125 b=5.125 c=5.125 alpha=60.00 beta=60.00 gamma=60.00
Fractional positions:
Ac (0.000, 0.000, 0.000)
Ho (0.500, 0.500, 0.500)
Pd (0.750, 0.750, 0.750)

---

Entry 6:
Density functional theory data (PBE-GGA) for SrZr2Au after structural relaxation.

Calculated values
formation enthalpy at 0 K	0.231	eV per atom
DFT total energy	-21.1	eV/cell
E above lowest polymorph	422	meV/atom

Unit cell a=10.746 b=10.746 c=10.746 alpha=18.03 beta=18.03 gamma=18.03
Fractional positions:
Sr (0.000, 0.000, 0.000)
Zr (0.236, 0.236, 0.236)
Zr (0.764, 0.764, 0.764)
Au (0.500, 0.500, 0.500)

---

Entry 7:
Density functional theory data (PBE-GGA) for La6PmTl5 after structural relaxation.

Calculated values
formation enthalpy at 0 K	-0.320	eV per atom
DFT total energy	-50.0	eV/cell

Unit cell a=9.929 b=9.929 c=9.929 alpha=146.72 beta=133.39 gamma=58.47
Fractional positions:
La (0.070, 0.326, 0.743)
La (0.230, 0.000, 0.230)
La (0.417, 0.674, 0.743)
La (0.583, 0.326, 0.257)
La (0.770, 0.000, 0.770)
La (0.930, 0.674, 0.257)
Pm (0.500, 0.500, 0.000)
Tl (0.000, 0.500, 0.500)
Tl (0.168, 0.168, 0.000)
Tl (0.350, 0.850, 0.500)
Tl (0.650, 0.150, 0.500)
Tl (0.832, 0.832, 0.000)

---

Entry 8:
Density functional theory data (PBE-GGA) for TlCo3Ge after structural relaxation.

Calculated values
formation enthalpy at 0 K	1.701	eV per atom
DFT total energy	-19.8	eV/cell
E above lowest polymorph	980	meV/atom

Unit cell a=4.782 b=4.782 c=4.782 alpha=90.00 beta=90.00 gamma=90.00
Fractional positions:
Tl (0.000, 0.000, 0.000)
Co (0.000, 0.000, 0.500)
Co (0.000, 0.500, 0.000)
Co (0.500, 0.000, 0.000)
Ge (0.500, 0.500, 0.500)

---

Entry 9:
Density functional theory data (PBE-GGA) for NdEr4Tm6 after structural relaxation.

Calculated values
formation enthalpy at 0 K	0.122	eV per atom
DFT total energy	-97.0	eV/cell
E above lowest polymorph	0	meV/atom

Unit cell a=5.557 b=5.557 c=25.403 alpha=90.00 beta=90.00 gamma=119.72
Fractional positions:
Nd (0.171, 0.829, 0.750)
Nd (0.829, 0.171, 0.250)
Er (0.165, 0.835, 0.041)
Er (0.165, 0.835, 0.459)
Er (0.495, 0.505, 0.121)
Er (0.495, 0.505, 0.379)
Er (0.505, 0.495, 0.621)
Er (0.505, 0.495, 0.879)
Er (0.835, 0.165, 0.541)
Er (0.835, 0.165, 0.959)
Tm (0.162, 0.838, 0.180)
Tm (0.162, 0.838, 0.320)
Tm (0.171, 0.829, 0.601)
Tm (0.171, 0.829, 0.899)
Tm (0.495, 0.505, 0.250)
Tm (0.500, 0.500, 0.000)
Tm (0.500, 0.500, 0.500)
Tm (0.505, 0.495, 0.750)
Tm (0.829, 0.171, 0.101)
Tm (0.829, 0.171, 0.399)
Tm (0.838, 0.162, 0.680)
Tm (0.838, 0.162, 0.820)

---

Entry 10:
Density functional theory data (PBE-GGA) for B2OF after structural relaxation.

Calculated values
DFT total energy	-39.5	eV/cell
E above lowest polymorph	0	meV/atom

Unit cell a=6.149 b=6.149 c=6.149 alpha=146.33 beta=146.33 gamma=48.35
Fractional positions:
B (0.000, 0.000, 0.000)
B (0.000, 0.000, 0.500)
B (0.000, 0.500, 0.000)
B (0.500, 0.000, 0.500)
O (0.125, 0.875, 0.250)
O (0.875, 0.125, 0.750)
F (0.375, 0.625, 0.750)
F (0.625, 0.375, 0.250)

---

Entry 11:
Density functional theory data (PBE-GGA) for Pr6Y2Tm after structural relaxation.

Calculated values
formation enthalpy at 0 K	0.604	eV per atom
DFT total energy	-81.3	eV/cell
E above lowest polymorph	481	meV/atom

Unit cell a=8.362 b=8.362 c=10.547 alpha=90.00 beta=90.00 gamma=90.00
Fractional positions:
Pr (0.239, 0.239, 0.166)
Pr (0.239, 0.239, 0.834)
Pr (0.242, 0.242, 0.500)
Pr (0.258, 0.742, 0.000)
Pr (0.261, 0.739, 0.334)
Pr (0.261, 0.739, 0.666)
Pr (0.739, 0.261, 0.334)
Pr (0.739, 0.261, 0.666)
Pr (0.742, 0.258, 0.000)
Pr (0.758, 0.758, 0.500)
Pr (0.761, 0.761, 0.166)
Pr (0.761, 0.761, 0.834)
Y (0.000, 0.000, 0.333)
Y (0.000, 0.000, 0.667)
Y (0.500, 0.500, 0.167)
Y (0.500, 0.500, 0.833)
Tm (0.000, 0.000, 0.000)
Tm (0.500, 0.500, 0.500)

---

Entry 12:
Density functional theory data (PBE-GGA) for AlSbRh2 after structural relaxation.

Calculated values
DFT total energy	-46.6	eV/cell

Unit cell a=8.886 b=8.886 c=8.886 alpha=152.94 beta=152.94 gamma=38.64
Fractional positions:
Al (0.000, 0.000, 0.000)
Al (0.750, 0.250, 0.500)
Sb (0.250, 0.750, 0.500)
Sb (0.500, 0.500, 0.000)
Rh (0.107, 0.625, 0.982)
Rh (0.375, 0.357, 0.482)
Rh (0.643, 0.125, 0.018)
Rh (0.875, 0.893, 0.518)

---

Entry 13:
Density functional theory data (PBE-GGA) for Sr2SbAs2 after structural relaxation.

Calculated values
DFT total energy	-20.6	eV/cell
E above lowest polymorph	39	meV/atom

Unit cell a=9.641 b=9.641 c=9.641 alpha=156.15 beta=156.15 gamma=33.99
Fractional positions:
Sr (0.113, 0.113, 0.000)
Sr (0.887, 0.887, 0.000)
Sb (0.500, 0.500, 0.000)
As (0.250, 0.750, 0.500)
As (0.750, 0.250, 0.500)

---

Entry 14:
Density functional theory data (PBE-GGA) for Pm2YTmTl2 after structural relaxation.

Calculated values
formation enthalpy at 0 K	-0.277	eV per atom
DFT total energy	-53.7	eV/cell

Unit cell a=5.113 b=10.119 c=6.900 alpha=90.00 beta=90.00 gamma=90.00
Fractional positions:
Pm (0.000, 0.045, 0.000)
Pm (0.000, 0.955, 0.500)
Pm (0.500, 0.187, 0.275)
Pm (0.500, 0.813, 0.775)
Y (0.500, 0.456, 0.902)
Y (0.500, 0.544, 0.402)
Tm (0.000, 0.314, 0.617)
Tm (0.000, 0.686, 0.117)
Tl (0.000, 0.376, 0.162)
Tl (0.000, 0.624, 0.662)
Tl (0.500, 0.143, 0.741)
Tl (0.500, 0.857, 0.241)

---

Entry 15:
Density functional theory data (PBE-GGA) for Er6Tm8In after structural relaxation.

Calculated values
formation enthalpy at 0 K	0.205	eV per atom
DFT total energy	-62.8	eV/cell
E above lowest polymorph	179	meV/atom

Unit cell a=9.061 b=9.061 c=6.624 alpha=90.00 beta=90.00 gamma=120.00
Fractional positions:
Er (0.081, 0.683, 0.101)
Er (0.317, 0.398, 0.101)
Er (0.398, 0.081, 0.899)
Er (0.602, 0.919, 0.101)
Er (0.683, 0.602, 0.899)
Er (0.919, 0.317, 0.899)
Tm (0.018, 0.333, 0.392)
Tm (0.315, 0.982, 0.392)
Tm (0.333, 0.315, 0.608)
Tm (0.333, 0.667, 0.690)
Tm (0.667, 0.333, 0.310)
Tm (0.667, 0.685, 0.392)
Tm (0.685, 0.018, 0.608)
Tm (0.982, 0.667, 0.608)
In (0.000, 0.000, 0.000)

---

Entry 16:
Density functional theory data (PBE-GGA) for VMoI2 after structural relaxation.

Calculated values
DFT total energy	-37.9	eV/cell
E above lowest polymorph	88	meV/atom

Unit cell a=7.694 b=7.694 c=7.694 alpha=133.64 beta=133.64 gamma=67.66
Fractional positions:
V (0.000, 0.000, 0.000)
V (0.750, 0.250, 0.500)
Mo (0.250, 0.750, 0.500)
Mo (0.500, 0.500, 0.000)
I (0.129, 0.625, 0.004)
I (0.375, 0.379, 0.504)
I (0.621, 0.125, 0.996)
I (0.875, 0.871, 0.496)

---

Entry 17:
Density functional theory data (PBE-GGA) for AcCeIn2Se4 after structural relaxation.

Calculated values
DFT total energy	-39.7	eV/cell

Unit cell a=7.691 b=4.444 c=8.099 alpha=90.00 beta=108.45 gamma=90.00
Fractional positions:
Ac (0.000, 0.000, 0.000)
Ce (0.500, 0.500, 0.000)
In (0.000, 0.500, 0.500)
In (0.500, 0.000, 0.500)
Se (0.251, 0.500, 0.219)
Se (0.273, 0.000, 0.786)
Se (0.727, 0.000, 0.214)
Se (0.749, 0.500, 0.781)

---

Entry 18:
Density functional theory data (PBE-GGA) for ZnCd2Cu after structural relaxation.

Calculated values
formation enthalpy at 0 K	0.093	eV per atom
DFT total energy	-6.8	eV/cell

Unit cell a=4.443 b=4.443 c=3.541 alpha=90.00 beta=90.00 gamma=90.00
Fractional positions:
Zn (0.000, 0.000, 0.000)
Cd (0.000, 0.500, 0.500)
Cd (0.500, 0.000, 0.500)
Cu (0.500, 0.500, 0.000)

---

Entry 19:
Density functional theory data (PBE-GGA) for Y2ZnBi after structural relaxation.

Calculated values
formation enthalpy at 0 K	-0.417	eV per atom
DFT total energy	-19.8	eV/cell
E above lowest polymorph	70	meV/atom

Unit cell a=5.301 b=5.301 c=5.301 alpha=60.00 beta=60.00 gamma=60.00
Fractional positions:
Y (0.250, 0.250, 0.250)
Y (0.750, 0.750, 0.750)
Zn (0.000, 0.000, 0.000)
Bi (0.500, 0.500, 0.500)

---

Entry 20:
Density functional theory data (PBE-GGA) for Tm2TlCd5 after structural relaxation.

Calculated values
formation enthalpy at 0 K	-0.217	eV per atom
DFT total energy	-35.2	eV/cell

Unit cell a=6.625 b=13.282 c=4.358 alpha=90.00 beta=90.00 gamma=90.00
Fractional positions:
Tm (0.239, 0.122, 0.000)
Tm (0.261, 0.622, 0.000)
Tm (0.739, 0.378, 0.000)
Tm (0.761, 0.878, 0.000)
Tl (0.000, 0.000, 0.500)
Tl (0.500, 0.500, 0.500)
Cd (0.000, 0.500, 0.500)
Cd (0.010, 0.746, 0.500)
Cd (0.235, 0.369, 0.000)
Cd (0.265, 0.869, 0.000)
Cd (0.490, 0.246, 0.500)
Cd (0.500, 0.000, 0.500)
Cd (0.510, 0.754, 0.500)
Cd (0.735, 0.131, 0.000)
Cd (0.765, 0.631, 0.000)
Cd (0.990, 0.254, 0.500)